Run w
# Hg2Cl3F

A relaxed Hg2Cl3F crystal (GGA-PBE, Alexandria).

Results
- magnetic moment (μB/f.u.) = 0.00
- space group = C2/m (12)
- Fermi-level density of states (states/eV/cell) = 0.0
- calculated density (g/cm3) = 5.1

a b c (Å): 4.024 8.622 10.353
angles (deg): 84.01 78.79 76.50
Sites, in units of the cell vectors:
Cl 0.689 0.684 0.938
Cl 0.311 0.316 0.062
Cl 0.034 0.190 0.743
Cl 0.785 0.832 0.598
Cl 0.215 0.168 0.402
Cl 0.966 0.810 0.257
Hg 0.862 0.444 0.831
Hg 0.398 0.727 0.476
Hg 0.138 0.556 0.169
Hg 0.602 0.273 0.524
F 0.567 0.513 0.353
F 0.433 0.487 0.647

=====

Run x
# Hg2Cl3F

A relaxed Hg2Cl3F crystal (GGA-PBE, Alexandria).

Results
- magnetic moment (μB/f.u.) = 0.00
- space group = C2/m (12)
- Fermi-level density of states (states/eV/cell) = 0.0
- calculated density (g/cm3) = 4.6

a b c (Å): 4.549 7.807 11.349
angles (deg): 90.88 78.44 73.06
Sites, in units of the cell vectors:
Hg 0.641 0.076 0.643
Hg 0.887 0.354 0.871
Hg 0.359 0.924 0.357
Hg 0.113 0.646 0.129
Cl 0.837 0.797 0.529
Cl 0.163 0.203 0.471
Cl 0.293 0.335 0.078
Cl 0.930 0.960 0.180
Cl 0.707 0.665 0.922
Cl 0.070 0.040 0.820
F 0.467 0.328 0.738
F 0.533 0.672 0.262

=====

Of them, run x has the highest stability.

=====

Run w
# HgCl2F

A relaxed HgCl2F crystal (GGA-PBE, Alexandria).

Results
- magnetic moment (μB/f.u.) = 1.00
- space group = Fm-3m (225)
- Fermi-level density of states (states/eV/cell) = 5.6
- calculated density (g/cm3) = 6.6

a b c (Å): 4.700 4.700 4.700
angles (deg): 60.00 60.00 60.00
Last column: magnetic moment on the atom in μB.
Sites, in units of the cell vectors:
Hg 0.500 0.500 0.500  -0.01
Cl 0.250 0.250 0.250  -0.23
Cl 0.750 0.750 0.750  -0.23
F 0.000 0.000 0.000  -0.40

=====

Run x
# HgCl2F

A relaxed HgCl2F crystal (GGA-PBE, Alexandria).

Results
- magnetic moment (μB/f.u.) = 0.00
- space group = I-42d (122)
- Fermi-level density of states (states/eV/cell) = 2.2
- calculated density (g/cm3) = 5.8

a b c (Å): 8.271 8.271 6.337
angles (deg): 49.27 49.27 90.00
Sites, in units of the cell vectors:
Cl 0.091 0.625 0.250
Cl 0.375 0.341 0.750
Cl 0.875 0.909 0.750
Cl 0.659 0.125 0.250
Hg 0.000 0.000 0.000
Hg 0.750 0.250 0.500
F 0.500 0.500 0.000
F 0.250 0.750 0.500

=====

Of them, run x has the highest stability.

=====

Run w
# HgCl2F

A relaxed HgCl2F crystal (GGA-PBE, Alexandria).

Results
- magnetic moment (μB/f.u.) = 0.00
- space group = P2_1/m (11)
- calculated density (g/cm3) = 4.3

a b c (Å): 3.812 6.173 10.680
angles (deg): 90.00 90.00 116.06
Sites, in units of the cell vectors:
Hg 0.103 0.302 0.250
Hg 0.897 0.698 0.750
F 0.704 0.529 0.250
F 0.296 0.471 0.750
Cl 0.477 0.992 0.881
Cl 0.523 0.008 0.119
Cl 0.477 0.992 0.619
Cl 0.523 0.008 0.381

=====

Run x
# HgCl2F

A relaxed HgCl2F crystal (GGA-PBE, Alexandria).

Results
- magnetic moment (μB/f.u.) = 0.97
- space group = R-3m (166)
- Fermi-level density of states (states/eV/cell) = 0.8
- calculated density (g/cm3) = 4.6

a b c (Å): 7.829 7.829 7.829
angles (deg): 29.94 29.94 29.94
Last column: magnetic moment on the atom in μB.
Sites, in units of the cell vectors:
F 0.000 0.000 0.000  0.53
Cl 0.103 0.103 0.103  0.15
Cl 0.897 0.897 0.897  0.15
Hg 0.500 0.500 0.500  0.02

=====

Of them, run w has the highest stability.

=====

Run w
# HgN2ClF

A relaxed HgN2ClF crystal (GGA-PBE, Alexandria).

Results
- magnetic moment (μB/f.u.) = 3.56
- space group = P4/mmm (123)
- Fermi-level density of states (states/eV/cell) = 6.3
- calculated density (g/cm3) = 5.4

a b c (Å): 4.456 4.456 4.407
angles (deg): 90.00 90.00 90.00
Last column: magnetic moment on the atom in μB.
Sites, in units of the cell vectors:
Cl 0.500 0.500 0.500  -0.08
N 0.500 0.000 0.000  1.25
N 0.000 0.500 0.000  1.25
F 0.000 0.000 0.500  0.00
Hg 0.000 0.000 0.000  0.07

=====

Run x
# HgN2ClF

A relaxed HgN2ClF crystal (GGA-PBE, Alexandria).

Results
- magnetic moment (μB/f.u.) = 0.71
- space group = P4/mmm (123)
- Fermi-level density of states (states/eV/cell) = 2.9
- calculated density (g/cm3) = 6.3

a b c (Å): 3.677 3.677 5.536
angles (deg): 90.00 90.00 90.00
Last column: magnetic moment on the atom in μB.
Sites, in units of the cell vectors:
N 0.500 0.000 0.000  0.27
N 0.000 0.500 0.000  0.27
F 0.000 0.000 0.500  0.00
Cl 0.000 0.000 0.000  -0.01
Hg 0.500 0.500 0.500  0.00

=====

Run y
# HgN2ClF

A relaxed HgN2ClF crystal (GGA-PBE, Alexandria).

Results
- magnetic moment (μB/f.u.) = 4.66
- space group = P4/mmm (123)
- Fermi-level density of states (states/eV/cell) = 1.4
- calculated density (g/cm3) = 4.4

a b c (Å): 4.041 6.616 4.041
angles (deg): 90.00 90.00 90.00
Last column: magnetic moment on the atom in μB.
Sites, in units of the cell vectors:
F 0.000 0.000 0.000  0.02
N 0.500 0.000 0.000  1.74
N 0.000 0.000 0.500  1.43
Hg 0.500 0.500 0.500  0.01
Cl 0.000 0.500 0.000  0.02

=====

Of them, run w has the highest stability.